1.
DFT (GGA-PBE) results for a geometry-optimized LaCrTe4 structure.

Structure (POSCAR):
```
LaCrTe4
1.0
-3.729 -3.808 -3.488
-6.243 -0.334 1.222
-4.185 2.517 -4.089
La Cr Te
1 1 4
Direct
0.000 0.000 0.000
0.750 0.750 0.750
0.874 0.375 0.375
0.375 0.375 0.874
0.375 0.874 0.375
0.375 0.375 0.375
```

Properties
Total magnetic moment: 5.42 μB/cell
Space group: F-43m
Calculated total energy: -4.337 eV/atom

2.
DFT (GGA-PBE) results for a geometry-optimized Ca2SbCl structure.

Structure (POSCAR):
```
Ca2SbCl
1.0
-4.881 1.881 5.917
2.137 -4.904 -1.234
1.969 -0.602 3.245
Sb Ca Cl
1 2 1
Direct
0.500 0.500 0.000
0.000 0.000 0.000
0.500 0.000 0.500
0.000 0.500 0.500
```

Properties
Total magnetic moment: 0.00 μB/cell
Space group: C2/m
Calculated total energy: -3.756 eV/atom

3.
DFT (GGA-PBE) results for a geometry-optimized MgCdIn2Sn2 structure.

Structure (POSCAR):
```
MgCdIn2Sn2
1.0
4.326 0.000 0.000
0.000 6.725 0.000
0.000 0.000 10.598
Mg Cd In Sn
2 2 4 4
Direct
0.000 0.883 0.496
0.000 0.383 0.504
0.500 0.127 0.656
0.500 0.627 0.344
0.500 0.137 0.998
0.000 0.380 0.173
0.500 0.637 0.002
0.000 0.880 0.827
0.000 0.380 0.813
0.500 0.138 0.357
0.000 0.880 0.187
0.500 0.638 0.643
```

Properties
Total magnetic moment: 0.00 μB/cell
E_form: -0.09 kcal/mol of atoms
Space group: Pmc2_1

4.
DFT (GGA-PBE) results for a geometry-optimized SmPaCl structure.

Structure (POSCAR):
```
SmPaCl
1.0
-1.898 1.169 2.356
-3.610 -5.661 -0.098
6.256 -1.927 3.765
Cl Pa Sm
2 2 2
Direct
0.492 0.251 0.985
0.508 0.749 0.015
0.825 0.937 0.649
0.175 0.063 0.351
0.144 0.557 0.288
0.856 0.443 0.712
```

Properties
Total magnetic moment: 0.00 μB/cell
Space group: C2/m
Calculated total energy: -5.783 eV/atom

5.
DFT (GGA-PBE) results for a geometry-optimized TbU2Se6 structure.

Structure (POSCAR):
```
TbU2Se6
1.0
4.056 0.000 -0.929
-0.448 8.149 -1.955
-0.013 0.004 9.260
Tb U Se
1 2 6
Direct
0.500 0.000 0.000
0.834 0.675 0.669
0.166 0.325 0.331
0.335 0.898 0.669
0.010 0.242 0.021
0.673 0.558 0.347
0.990 0.758 0.979
0.665 0.102 0.331
0.327 0.442 0.653
```

Properties
Total magnetic moment: 3.00 μB/cell
Space group: C2/m
Calculated total energy: -6.636 eV/atom

6.
DFT (GGA-PBE) results for a geometry-optimized In3Si5Hg12 structure.

Structure (POSCAR):
```
In3Si5Hg12
1.0
-0.803 2.218 -13.875
-12.908 -2.217 5.151
5.666 11.275 6.233
In Si Hg
12 20 48
Direct
0.750 0.375 0.125
0.875 0.750 0.125
0.375 0.750 0.625
0.250 0.125 0.375
0.875 0.125 0.250
0.375 0.625 0.250
0.625 0.375 0.750
0.125 0.875 0.750
0.750 0.875 0.625
0.625 0.250 0.375
0.125 0.250 0.875
0.250 0.625 0.875
0.125 0.375 0.250
0.000 0.500 0.000
0.000 0.000 0.000
0.375 0.250 0.125
0.500 0.000 0.500
0.500 0.500 0.000
0.125 0.750 0.375
0.750 0.125 0.875
0.750 0.625 0.375
0.375 0.125 0.750
0.625 0.875 0.250
0.500 0.500 0.500
0.500 0.000 0.000
0.000 0.000 0.500
0.250 0.375 0.625
0.250 0.875 0.125
0.000 0.500 0.500
0.875 0.250 0.625
0.625 0.750 0.875
0.875 0.625 0.750
0.714 0.106 0.035
0.321 0.535 0.428
0.965 0.394 0.286
0.535 0.214 0.106
0.608 0.714 0.679
0.965 0.572 0.179
0.321 0.786 0.392
0.072 0.892 0.106
0.572 0.965 0.679
0.714 0.608 0.179
0.786 0.465 0.394
0.821 0.928 0.035
0.106 0.714 0.535
0.394 0.428 0.108
0.108 0.928 0.394
0.392 0.106 0.572
0.108 0.179 0.214
0.465 0.679 0.072
0.821 0.892 0.286
0.106 0.392 0.072
0.394 0.965 0.786
0.572 0.606 0.392
0.928 0.821 0.535
0.786 0.321 0.892
0.428 0.394 0.608
0.072 0.179 0.465
0.214 0.679 0.108
0.179 0.108 0.714
0.606 0.035 0.214
0.894 0.608 0.928
0.535 0.321 0.928
0.608 0.894 0.428
0.892 0.821 0.786
0.892 0.072 0.606
0.894 0.286 0.465
0.179 0.072 0.965
0.606 0.572 0.892
0.428 0.035 0.321
0.286 0.392 0.821
0.214 0.535 0.606
0.928 0.108 0.894
0.679 0.214 0.608
0.465 0.786 0.894
0.035 0.428 0.821
0.392 0.286 0.321
0.035 0.606 0.714
0.679 0.465 0.572
0.286 0.894 0.965
```

Properties
Total magnetic moment: 0.00 μB/cell
Space group: Ia-3d
Calculated total energy: -1.642 eV/atom